No. 1
4
Lattice="2.107 1.216 7.517 -2.107 1.216 7.517 0.000 -2.433 7.517" Properties=species:S:1:pos:R:3 comment="CaSb2Au | Alexandria via LeMat-Bulk | GGA-PBE | optimized geometry" dos_at_fermi_per_ev_atom=0.370 raw_formation_energy_kj_per_mol_atoms=-30.0 rho_g_cm3=6.90 final_energy_ev_per_atom=-3.69 pbc="T T T"
Ca 0.000 0.000 0.000
Sb 0.000 0.000 11.580
Sb 0.000 0.000 17.314
Au 0.000 0.000 5.783

---

No. 2
12
Lattice="8.557 0.000 0.000 0.000 4.485 0.000 0.000 0.000 8.004" Properties=species:S:1:pos:R:3 comment="AcMg4Zn | Alexandria via LeMat-Bulk | GGA-PBE | optimized geometry" dos_at_fermi_per_ev_atom=0.491 rho_g_cm3=4.21 final_energy_ev_per_atom=-2.09 formation_energy_ev_per_atom=-0.12 de_polymorph_kcal_per_mol_atoms=0.00 pbc="T T T"
Ac 2.139 0.000 0.908
Ac 6.418 0.000 7.095
Mg 0.000 0.000 4.002
Mg 0.535 2.243 6.391
Mg 2.139 2.243 3.623
Mg 3.743 2.243 6.391
Mg 4.278 0.000 4.002
Mg 4.813 2.243 1.613
Mg 6.418 2.243 4.381
Mg 8.022 2.243 1.613
Zn 2.139 0.000 5.660
Zn 6.418 0.000 2.344

---

No. 3
5
Lattice="-2.115 2.115 4.459 2.115 -2.115 4.459 2.115 2.115 -4.459" Properties=species:S:1:pos:R:3 comment="PmBe2IrRu | Alexandria via LeMat-Bulk | GGA-PBE | optimized geometry" dos_at_fermi_per_ev_atom=0.420 rho_g_cm3=9.50 final_energy_ev_per_atom=-6.49 formation_energy_ev_per_atom=-0.42 pbc="T T T"
Pm 0.000 0.000 0.000
Be 0.000 0.000 3.035
Be 0.000 0.000 5.883
Ir 0.000 2.115 2.229
Ru 2.115 0.000 2.229

---

No. 4
4
Lattice="0.000 3.324 3.324 3.324 0.000 3.324 3.324 3.324 0.000" Properties=species:S:1:pos:R:3 comment="LiTmSnIr | Alexandria via LeMat-Bulk | GGA-PBE | optimized geometry" dos_at_fermi_per_ev_atom=0.907 rho_g_cm3=11.00 final_energy_ev_per_atom=-5.50 formation_energy_ev_per_atom=-0.69 pbc="T T T"
Li 0.000 0.000 0.000
Tm 4.986 4.986 4.986
Sn 1.662 1.662 1.662
Ir 3.324 3.324 3.324

---

No. 5
17
Lattice="3.265 0.000 0.000 1.615 9.058 0.000 0.380 1.263 10.207" Properties=species:S:1:pos:R:3 comment="MgZn4Sn4O8 | Alexandria via LeMat-Bulk | GGA-PBE | optimized geometry" dos_at_fermi_per_ev_atom=0.113 raw_formation_energy_kj_per_mol_atoms=-126.1 rho_g_cm3=4.89 final_energy_ev_per_atom=-4.98 de_polymorph_kcal_per_mol_atoms=0.00 pbc="T T T"
Mg 0.000 0.000 0.000
Zn 1.782 1.664 2.388
Zn 2.010 2.445 7.756
Zn 3.627 8.083 9.549
Zn 3.629 4.432 10.008
Sn 2.019 9.328 5.510
Sn 1.619 5.669 2.061
Sn 1.993 5.795 7.220
Sn 3.634 3.600 4.787
O 0.381 1.616 3.778
O 1.615 7.112 0.502
O 1.996 4.245 8.780
O 3.627 10.140 9.151
O 3.626 6.758 8.161
O 3.249 4.712 1.053
O 3.269 1.609 1.115
O 3.641 2.264 6.574

---

No. 6
19
Lattice="6.680 3.857 4.115 -6.680 3.857 4.115 0.000 -7.713 4.115" Properties=species:S:1:pos:R:3 comment="Tb6SmTh12 | Alexandria via LeMat-Bulk | GGA-PBE | optimized geometry" dos_at_fermi_per_ev_atom=1.581 rho_g_cm3=10.15 final_energy_ev_per_atom=-6.15 formation_energy_ev_per_atom=0.25 pbc="T T T"
Tb -2.933 -1.694 5.591
Tb 0.000 -3.387 6.754
Tb -2.933 1.694 6.754
Tb 2.933 -1.694 5.591
Tb 0.000 3.387 5.591
Tb 2.933 1.694 6.754
Sm 0.000 0.000 6.173
Th -1.687 -4.791 4.115
Th -4.993 0.934 4.115
Th 0.000 -2.062 2.948
Th -1.786 1.031 2.948
Th 1.687 -4.791 4.115
Th -3.305 3.857 4.115
Th 1.786 1.031 2.948
Th -1.786 -1.031 9.397
Th 4.993 0.934 4.115
Th 3.305 3.857 4.115
Th 1.786 -1.031 9.397
Th 0.000 2.062 9.397

---

No. 7
4
Lattice="-1.928 2.164 5.790 1.928 -2.164 5.790 1.928 2.164 -5.790" Properties=species:S:1:pos:R:3 comment="BaCoAs2 | Alexandria via LeMat-Bulk | GGA-PBE | optimized geometry" dos_at_fermi_per_ev_atom=0.934 rho_g_cm3=5.95 final_energy_ev_per_atom=-4.76 formation_energy_ev_per_atom=-0.18 pbc="T T T"
Ba 0.000 0.000 0.000
Co 0.000 2.164 2.847
As 1.928 0.000 3.138
As 0.000 0.000 7.435

---

No. 8
4
Lattice="1.956 1.129 9.240 -1.956 1.129 9.240 0.000 -2.259 9.240" Properties=species:S:1:pos:R:3 comment="LaErSn2 | Alexandria via LeMat-Bulk | GGA-PBE | optimized geometry" dos_at_fermi_per_ev_atom=0.590 rho_g_cm3=7.37 final_energy_ev_per_atom=-4.89 formation_energy_ev_per_atom=-0.51 pbc="T T T"
La 0.000 0.000 0.000
Er 0.000 0.000 13.859
Sn 0.000 0.000 6.808
Sn 0.000 0.000 20.911

---

No. 9
4
Lattice="0.000 3.729 3.729 3.729 0.000 3.729 3.729 3.729 0.000" Properties=species:S:1:pos:R:3 comment="NaLiNdIn | Alexandria via LeMat-Bulk | GGA-PBE | optimized geometry" dos_at_fermi_per_ev_atom=0.380 rho_g_cm3=4.63 final_energy_ev_per_atom=-2.84 formation_energy_ev_per_atom=-0.16 pbc="T T T"
Na 0.000 0.000 0.000
Li 1.865 1.865 1.865
Nd 5.594 5.594 5.594
In 3.729 3.729 3.729

---

No. 10
20
Lattice="5.697 -4.879 0.000 5.697 4.879 0.000 -2.986 0.000 5.670" Properties=species:S:1:pos:R:3 comment="SrPuCu2O6 | Alexandria via LeMat-Bulk | GGA-PBE | optimized geometry" dos_at_fermi_per_ev_atom=0.461 raw_formation_energy_kj_per_mol_atoms=-171.9 rho_g_cm3=5.85 final_energy_ev_per_atom=-7.18 pbc="T T T"
Sr 3.457 3.886 4.253
Sr 4.950 -3.886 1.418
Pu 4.950 2.191 1.418
Pu 3.457 -2.191 4.253
Cu 0.797 0.527 4.899
Cu 2.290 -0.527 2.064
Cu 6.118 0.527 3.606
Cu 7.611 -0.527 0.771
O -0.846 1.078 4.015
O 1.977 2.175 5.148
O 0.647 -1.078 1.180
O 3.441 0.701 1.192
O 4.938 2.175 3.358
O 1.948 -0.701 4.027
O 6.459 0.701 1.643
O 3.470 -2.175 2.312
O 4.966 -0.701 4.478
O 7.761 1.078 4.490
O 6.430 -2.175 0.523
O 9.254 -1.078 1.655

---

No. 11
4
Lattice="3.717 0.000 0.000 0.000 3.514 0.000 -1.841 0.000 7.993" Properties=species:S:1:pos:R:3 comment="SrZr2Fe | Alexandria via LeMat-Bulk | GGA-PBE | optimized geometry" dos_at_fermi_per_ev_atom=0.835 rho_g_cm3=5.18 final_energy_ev_per_atom=-6.51 formation_energy_ev_per_atom=0.30 de_polymorph_kcal_per_mol_atoms=1.84 pbc="T T T"
Sr 0.000 0.000 0.000
Zr 0.014 1.757 5.219
Zr 1.874 0.000 3.219
Fe 0.016 1.757 2.825

---

No. 12
4
Lattice="2.879 -4.764 0.000 2.879 4.764 0.000 -1.507 0.000 2.704" Properties=species:S:1:pos:R:3 comment="SrCu2Pt | Alexandria via LeMat-Bulk | GGA-PBE | optimized geometry" dos_at_fermi_per_ev_atom=0.349 rho_g_cm3=9.17 final_energy_ev_per_atom=-3.82 formation_energy_ev_per_atom=0.16 de_polymorph_kcal_per_mol_atoms=12.23 pbc="T T T"
Sr 0.000 0.000 0.000
Cu 0.686 2.382 1.352
Cu 0.686 -2.382 1.352
Pt 2.879 0.000 0.000

---

No. 13
4
Lattice="2.887 0.000 0.000 0.000 2.887 0.000 0.000 0.000 7.732" Properties=species:S:1:pos:R:3 comment="AlTcAu2 | Alexandria via LeMat-Bulk | GGA-PBE | optimized geometry" dos_at_fermi_per_ev_atom=0.736 rho_g_cm3=13.37 final_energy_ev_per_atom=-5.07 formation_energy_ev_per_atom=0.10 pbc="T T T"
Al 0.000 0.000 0.000
Tc 0.000 0.000 3.866
Au 1.444 1.444 1.828
Au 1.444 1.444 5.904

---

No. 14
20
Lattice="10.561 0.000 0.000 0.000 10.561 0.000 0.000 0.000 3.195" Properties=species:S:1:pos:R:3 comment="Ti5In2MoRh2 | Alexandria via LeMat-Bulk | GGA-PBE | optimized geometry" dos_at_fermi_per_ev_atom=0.891 rho_g_cm3=7.18 final_energy_ev_per_atom=-7.33 formation_energy_ev_per_atom=-0.28 pbc="T T T"
Ti 0.000 5.280 0.000
Ti 0.667 2.020 0.000
Ti 2.020 9.894 0.000
Ti 3.261 4.614 0.000
Ti 4.614 7.300 0.000
Ti 5.280 0.000 0.000
Ti 5.947 3.261 0.000
Ti 7.300 5.947 0.000
Ti 8.541 0.667 0.000
Ti 9.894 8.541 0.000
In 1.836 7.117 1.597
In 3.444 1.836 1.597
In 7.117 8.724 1.597
In 8.724 3.444 1.597
Mo 0.000 0.000 1.597
Mo 5.280 5.280 1.597
Rh 1.381 3.899 1.597
Rh 3.899 9.180 1.597
Rh 6.662 1.381 1.597
Rh 9.180 6.662 1.597

---

No. 15
4
Lattice="5.478 -1.488 0.000 5.478 1.488 0.000 -2.744 0.000 5.922" Properties=species:S:1:pos:R:3 comment="Tl2ReCl | Alexandria via LeMat-Bulk | GGA-PBE | optimized geometry" dos_at_fermi_per_ev_atom=0.452 raw_formation_energy_kj_per_mol_atoms=46.2 rho_g_cm3=10.84 final_energy_ev_per_atom=-4.28 de_polymorph_kcal_per_mol_atoms=0.00 pbc="T T T"
Tl 0.000 0.000 0.000
Tl -0.016 0.000 3.413
Re 5.341 0.000 5.895
Cl 2.760 0.000 1.862

---

No. 16
22
Lattice="5.002 -9.018 0.000 5.002 9.018 0.000 -1.411 0.000 9.872" Properties=species:S:1:pos:R:3 comment="Cs3Hg7Pt | Alexandria via LeMat-Bulk | GGA-PBE | optimized geometry" dos_at_fermi_per_ev_atom=0.344 rho_g_cm3=7.45 final_energy_ev_per_atom=-1.18 formation_energy_ev_per_atom=-0.20 pbc="T T T"
Cs 0.000 0.000 0.000
Cs 3.389 4.638 3.877
Cs 3.187 4.503 8.994
Cs 4.404 0.000 4.786
Cs 3.389 -4.638 3.877
Cs 3.187 -4.503 8.994
Hg 0.867 2.729 6.417
Hg 1.005 1.604 3.381
Hg 1.005 -1.604 3.381
Hg 3.259 1.663 1.269
Hg 1.906 0.000 7.735
Hg 0.867 -2.729 6.417
Hg 3.259 -1.663 1.269
Hg 6.451 1.880 1.714
Hg 5.469 1.619 8.369
Hg 5.469 -1.619 8.369
Hg 6.451 -1.880 1.714
Hg 7.829 1.593 6.405
Hg 8.111 0.000 3.523
Hg 7.829 -1.593 6.405
Pt 0.134 0.000 5.628
Pt 3.664 0.000 9.785

---

No. 17
5
Lattice="-2.422 3.512 5.133 2.422 -3.512 5.133 2.422 3.512 -5.133" Properties=species:S:1:pos:R:3 comment="Ac2TbSn2 | Alexandria via LeMat-Bulk | GGA-PBE | optimized geometry" dos_at_fermi_per_ev_atom=0.913 rho_g_cm3=8.08 final_energy_ev_per_atom=-4.81 formation_energy_ev_per_atom=-0.64 de_polymorph_kcal_per_mol_atoms=0.00 pbc="T T T"
Ac 0.000 0.000 2.083
Ac 0.000 0.000 8.183
Tb 0.000 3.512 0.000
Sn 2.422 1.535 0.000
Sn 0.000 1.977 5.133

---

No. 18
8
Lattice="-3.473 3.473 3.213 3.473 -3.473 3.213 3.473 3.473 -3.213" Properties=species:S:1:pos:R:3 comment="Tl2BIr | Alexandria via LeMat-Bulk | GGA-PBE | optimized geometry" dos_at_fermi_per_ev_atom=0.379 rho_g_cm3=13.10 final_energy_ev_per_atom=-3.79 formation_energy_ev_per_atom=1.27 de_polymorph_kcal_per_mol_atoms=0.08 pbc="T T T"
Tl 5.210 1.468 -0.803
Tl 1.468 1.737 0.803
Tl -1.737 2.005 2.410
Tl 2.005 1.737 4.016
B 0.000 0.000 0.000
B 0.000 3.473 1.607
Ir 3.473 0.000 1.607
Ir 0.000 0.000 3.213

---

No. 19
7
Lattice="4.941 0.000 0.000 2.460 6.671 0.000 0.004 0.254 7.174" Properties=species:S:1:pos:R:3 comment="Ac2Er2Tl3 | Alexandria via LeMat-Bulk | GGA-PBE | optimized geometry" dos_at_fermi_per_ev_atom=1.140 rho_g_cm3=9.84 final_energy_ev_per_atom=-3.65 formation_energy_ev_per_atom=-0.16 de_polymorph_kcal_per_mol_atoms=0.83 pbc="T T T"
Ac 1.238 1.529 2.857
Ac 6.167 5.396 4.316
Er 3.700 4.433 1.507
Er 3.705 2.493 5.667
Tl 1.230 3.336 0.000
Tl 1.237 0.311 6.181
Tl 6.169 6.614 0.993

---

No. 20
10
Lattice="7.638 0.000 0.000 0.000 6.555 0.000 0.000 0.000 6.218" Properties=species:S:1:pos:R:3 comment="SmDy3Ir | Alexandria via LeMat-Bulk | GGA-PBE | optimized geometry" dos_at_fermi_per_ev_atom=1.168 rho_g_cm3=8.86 final_energy_ev_per_atom=-5.81 formation_energy_ev_per_atom=-0.33 de_polymorph_kcal_per_mol_atoms=0.00 pbc="T T T"
Sm 0.000 0.975 0.000
Sm 3.819 5.580 3.109
Dy 0.000 5.547 3.052
Dy 1.902 2.077 3.086
Dy 1.917 4.478 6.195
Dy 3.819 1.007 6.161
Dy 5.721 4.478 6.195
Dy 5.737 2.077 3.086
Ir 0.000 3.304 4.632
Ir 3.819 3.251 1.523